Entry from the Alexandria database: LaGe2As2 after structural relaxation (PBE-GGA).

Computed properties:
Calculated formation energy = -1.93 eV per formula unit
Total magnetization = 0.00 μB per formula unit
Uncorrected energy = -25.39 eV for the cell shown

Structure (extended XYZ):
```
5
Lattice="4.084 0.000 0.000 0.000 4.084 0.000 2.042 2.042 7.047" Properties=species:S:1:pos:R:3 pbc="T T T"
As 2.042 2.042 1.285
Ge 4.084 2.042 3.524
As 4.084 4.084 5.763
La 0.000 0.000 0.000
Ge 2.042 4.084 3.524
```

Entry from the Alexandria database: Pr8Y2Sc3 after structural relaxation (PBE-GGA).

Computed properties:
Calculated formation energy = 3.09 eV per formula unit
Offset from the most stable computed form = 56.7 meV/atom
Total magnetization = 0.00 μB per formula unit
Uncorrected energy = -67.07 eV for the cell shown

Structure (extended XYZ):
```
13
Lattice="6.691 0.000 0.579 0.000 8.968 0.000 -1.946 -4.484 7.327" Properties=species:S:1:pos:R:3 pbc="T T T"
Y 3.489 4.484 4.868
Pr 2.256 1.641 6.043
Sc 3.346 0.000 0.289
Pr 5.715 4.484 1.879
Pr -0.970 0.000 6.027
Sc 0.000 1.436 0.000
Pr 2.489 6.125 1.863
Y 1.256 0.000 3.038
Pr -0.018 4.484 4.671
Sc 0.000 7.532 0.000
Pr 2.489 2.844 1.863
Pr 2.256 -1.641 6.043
Pr 4.763 0.000 3.235
```

Entry from the Alexandria database: KTaAg after structural relaxation (PBE-GGA).

Computed properties:
Calculated formation energy = 2.39 eV per formula unit
Offset from the most stable computed form = 0.0 meV/atom
Total magnetization = 0.00 μB per formula unit
Uncorrected energy = -13.41 eV for the cell shown

Structure (extended XYZ):
```
3
Lattice="2.996 0.000 0.000 -1.498 2.594 0.000 0.000 0.000 8.746" Properties=species:S:1:pos:R:3 pbc="T T T"
Ag 0.000 0.000 8.535
Ta 0.000 1.730 6.121
K 1.498 0.865 2.837
```

Entry from the Alexandria database: Sr3Sb5Te12 after structural relaxation (PBE-GGA).

Computed properties:
Formation energy from raw total energies = -9.27 eV/f.u.
Total magnetization = 0.00 μB per formula unit
Uncorrected energy = -290.52 eV for the cell shown

Structure (extended XYZ):
```
80
Lattice="16.023 0.000 0.000 -5.341 15.107 0.000 -5.341 -7.553 13.083" Properties=species:S:1:pos:R:3 pbc="T T T"
Sb -2.671 7.553 0.000
Sb 5.341 7.553 0.000
Te 6.856 11.687 3.751
Te -5.166 5.905 12.528
Te 9.526 -5.315 11.378
Te 10.857 -3.433 8.246
Te 3.279 5.599 1.086
Sr 4.006 8.498 8.177
Sr -1.335 6.609 8.177
Sb -1.335 12.274 1.635
Sb 8.012 0.000 0.000
Sr -4.006 2.833 11.448
Te -4.619 6.679 7.096
Te 5.950 -1.955 11.997
Te 6.063 6.583 10.292
Sb 4.006 11.330 3.271
Te -4.185 12.869 1.705
Sr -6.676 7.553 9.812
Te -1.515 -4.134 9.332
Sr 1.335 7.553 3.271
Sb 9.347 -0.944 8.177
Te -0.722 0.971 2.791
Sb 1.335 4.721 11.448
Te 7.403 7.517 2.236
Sb 1.335 -3.777 9.812
Te 1.949 5.708 8.777
Sr 9.347 4.721 1.635
Te -5.516 10.987 4.837
Sb 4.006 2.833 1.635
Te 3.392 1.845 4.305
Sb -1.335 0.944 8.177
Te 2.062 -1.918 11.933
Te -0.609 9.508 1.086
Te 4.619 -1.845 4.305
Te 1.515 1.181 7.628
Te -2.846 3.433 8.246
Sb 0.000 0.000 0.000
Sb -2.671 -3.777 6.541
Te -5.950 -0.037 10.847
Te 3.826 6.372 5.455
Te 0.175 5.081 5.392
Te 11.838 3.420 3.751
Sb -5.341 3.777 6.541
Sr -4.006 -2.833 11.448
Te 6.497 -1.181 7.628
Te 8.187 13.459 0.555
Te -1.156 8.735 5.455
Te -0.609 5.635 1.150
Te -6.497 4.134 9.332
Te 0.722 9.399 8.777
Te 8.187 4.120 4.837
Te 10.507 1.648 0.555
Te 6.856 2.238 1.705
Sb -1.335 3.777 3.271
Te -2.846 -5.905 12.528
Te -2.062 0.037 10.847
Sb -4.006 8.498 4.906
Te -1.949 -0.875 5.987
Te -3.392 8.524 10.292
Te 2.496 10.026 5.392
Te -1.515 5.315 11.378
Sb 2.671 3.777 6.541
Te 8.733 -0.971 2.791
Sr 6.676 0.944 4.906
Sr 4.006 0.000 9.812
Sb 6.676 6.609 4.906
Te 5.166 2.472 7.691
Te 7.290 8.428 7.096
Sr 12.017 0.000 3.271
Te 9.960 0.875 5.987
Te 3.279 9.471 1.150
Te 2.846 -2.472 7.691
Sb 6.676 -4.721 11.448
Te 2.062 1.955 11.997
Te 11.291 7.590 2.236
Sb 6.676 3.777 9.812
Sb 5.341 -3.777 6.541
Sr 1.335 -0.944 4.906
Te 5.950 1.918 11.933
Sr 9.347 10.386 1.635
```

Entry from the Alexandria database: Cs4HI3 after structural relaxation (PBE-GGA).

Computed properties:
Offset from the most stable computed form = 0.0 meV/atom
Total magnetization = 0.06 μB per formula unit
Uncorrected energy = -41.62 eV for the cell shown

Structure (extended XYZ):
```
16
Lattice="-4.401 7.834 2.032 -0.281 -5.740 7.364 9.222 4.233 3.652" Properties=species:S:1:pos:R:3 pbc="T T T"
I 6.860 2.807 7.398
Cs 3.623 7.058 11.037
I 0.150 7.459 2.891
Cs 3.427 2.383 8.957
Cs 1.489 9.043 6.129
I 4.671 4.608 2.794
Cs 5.924 6.494 5.882
Cs 1.113 3.944 4.092
I 2.187 0.662 5.548
Cs 0.917 -0.732 2.011
H -0.110 2.413 0.900
Cs 3.050 -2.717 6.920
I 2.352 5.665 7.501
I -2.320 3.520 5.650
Cs -1.384 -0.167 7.166
H 4.931 9.654 4.784
```

Entry from the Alexandria database: LaSb2W after structural relaxation (PBE-GGA).

Computed properties:
Offset from the most stable computed form = 447.9 meV/atom
Formation energy from raw total energies = 1.15 eV/f.u.
Total magnetization = 2.22 μB per formula unit
Uncorrected energy = -24.97 eV for the cell shown

Structure (extended XYZ):
```
4
Lattice="5.920 -0.008 0.000 2.564 5.336 0.000 -4.242 -2.664 3.155" Properties=species:S:1:pos:R:3 pbc="T T T"
La 2.960 -0.004 1.578
Sb 0.000 0.000 0.000
Sb 1.282 2.668 1.578
W 4.242 2.664 0.000
```

Entry from the Alexandria database: Li4Cl3F after structural relaxation (PBE-GGA).

Computed properties:
Formation energy from raw total energies = -16.68 eV/f.u.
Total magnetization = 0.00 μB per formula unit
Uncorrected energy = -63.50 eV for the cell shown

Structure (extended XYZ):
```
16
Lattice="5.918 0.000 0.000 0.000 6.494 0.000 0.000 0.000 7.464" Properties=species:S:1:pos:R:3 pbc="T T T"
Li 0.609 2.041 5.839
F 2.980 5.369 3.732
Li 4.015 1.154 0.000
Cl 3.002 2.134 5.580
Cl 0.043 4.360 1.848
Li 3.568 4.452 5.357
Li 1.056 5.340 3.732
Li 0.609 2.041 1.625
Cl 3.002 2.134 1.884
Cl 3.012 5.513 0.000
Li 0.615 5.763 0.000
F 0.021 1.125 0.000
Cl 0.043 4.360 5.616
Li 3.568 4.452 2.107
Li 3.574 0.731 3.732
Cl 0.053 0.981 3.732
```

Entry from the Alexandria database: LiMn2Cu after structural relaxation (PBE-GGA).

Computed properties:
Calculated formation energy = 1.21 eV per formula unit
Total magnetization = 7.41 μB per formula unit
Uncorrected energy = -23.14 eV for the cell shown

Structure (extended XYZ):
```
4
Lattice="3.103 0.000 0.000 0.000 4.165 0.000 0.000 0.000 4.165" Properties=species:S:1:pos:R:3 pbc="T T T"
Mn 0.000 0.000 0.000
Mn 0.000 2.082 2.082
Cu 1.552 2.082 0.000
Li 1.552 0.000 2.082
```

Entry from the Alexandria database: B2H6I after structural relaxation (PBE-GGA).

Computed properties:
Offset from the most stable computed form = 149.5 meV/atom
Total magnetization = 0.00 μB per formula unit
Uncorrected energy = -67.33 eV for the cell shown

Structure (extended XYZ):
```
18
Lattice="-3.518 1.107 -8.433 -5.744 1.913 0.237 -1.147 6.375 6.539" Properties=species:S:1:pos:R:3 pbc="T T T"
H -3.498 4.176 0.728
H -1.716 3.272 1.118
H -6.102 3.210 -0.354
H -8.692 6.123 -2.775
B -6.114 3.115 -1.549
I -2.970 5.993 4.153
H -6.823 4.126 -2.015
H -5.138 3.005 -2.241
H -3.178 2.371 -0.140
H -7.230 7.024 -1.518
B -2.850 3.029 0.807
H -5.270 6.390 0.583
H -6.910 5.219 -2.386
I -7.438 3.402 -5.811
B -4.294 6.281 -0.108
H -3.585 5.269 0.357
H -4.305 6.185 -1.303
B -7.558 6.366 -2.465
```

Entry from the Alexandria database: NaTcSbO6 after structural relaxation (PBE-GGA).

Computed properties:
Formation energy from raw total energies = -12.50 eV/f.u.
Total magnetization = 0.00 μB per formula unit
Uncorrected energy = -116.12 eV for the cell shown

Structure (extended XYZ):
```
18
Lattice="5.326 0.000 0.000 -2.663 4.613 0.000 0.000 0.000 10.430" Properties=species:S:1:pos:R:3 pbc="T T T"
O 1.577 2.853 1.509
O 0.981 1.821 3.707
Tc 2.663 1.538 7.823
Sb 2.663 1.538 2.608
Na 0.000 0.000 0.000
O -0.596 4.552 1.509
O -0.981 1.821 1.509
Na 0.000 0.000 5.215
O 2.067 0.061 6.724
O 1.086 1.759 8.922
Tc 0.000 3.075 2.608
O 4.240 1.759 6.724
O 0.596 4.552 3.707
O 1.683 2.792 6.724
O -1.577 2.853 3.707
O 3.259 0.061 8.922
Sb 0.000 3.075 7.823
O 3.644 2.792 8.922
```

Entry from the Alexandria database: PmTmV after structural relaxation (PBE-GGA).

Computed properties:
Calculated formation energy = 0.82 eV per formula unit
Total magnetization = 2.66 μB per formula unit
Uncorrected energy = -35.05 eV for the cell shown

Structure (extended XYZ):
```
6
Lattice="-3.625 0.034 0.089 0.048 -2.292 2.809 7.420 13.911 1.875" Properties=species:S:1:pos:R:3 pbc="T T T"
Tm 1.055 6.228 3.901
V 0.963 3.022 1.282
Pm -0.865 0.495 1.590
V 2.880 8.630 3.491
Tm 2.788 5.425 0.872
Pm 4.708 11.157 3.183
```

Entry from the Alexandria database: Ti6CrGa5 after structural relaxation (PBE-GGA).

Computed properties:
Calculated formation energy = -4.63 eV per formula unit
Total magnetization = 0.00 μB per formula unit
Uncorrected energy = -76.76 eV for the cell shown

Structure (extended XYZ):
```
12
Lattice="3.827 0.015 -1.116 -1.046 6.710 -3.494 0.096 -0.456 7.442" Properties=species:S:1:pos:R:3 pbc="T T T"
Ti 2.636 3.698 1.969
Ti 0.241 2.571 0.862
Ti -0.303 6.063 -0.956
Ga 1.865 4.291 -0.665
Ti 1.104 5.200 -3.262
Ga -0.523 3.355 -1.747
Ga 1.012 1.979 3.496
Ti 3.180 0.206 3.787
Ga 2.412 0.983 1.166
Ga 0.465 5.286 1.665
Ti 1.677 1.525 -1.348
Cr 0.000 0.000 0.000
```

Entry from the Alexandria database: TaCoTe2 after structural relaxation (PBE-GGA).

Computed properties:
Formation energy from raw total energies = 1.57 eV/f.u.
Total magnetization = 1.03 μB per formula unit
Uncorrected energy = -23.67 eV for the cell shown

Structure (extended XYZ):
```
4
Lattice="4.721 0.116 -0.261 3.401 3.277 -0.261 0.756 0.316 5.463" Properties=species:S:1:pos:R:3 pbc="T T T"
Te 4.717 1.971 2.405
Co 6.659 2.782 3.706
Te 7.844 3.277 -0.456
Ta 2.220 0.927 1.235
```

Entry from the Alexandria database: GeIr after structural relaxation (PBE-GGA).

Computed properties:
Calculated formation energy = -0.31 eV per formula unit
Total magnetization = 0.00 μB per formula unit
Uncorrected energy = -27.57 eV for the cell shown

Structure (extended XYZ):
```
4
Lattice="2.944 0.000 -0.168 0.000 4.811 0.000 -1.212 0.000 4.603" Properties=species:S:1:pos:R:3 pbc="T T T"
Ge 1.691 1.203 3.733
Ir 0.105 1.203 1.821
Ir 1.628 3.608 2.614
Ge 0.042 3.608 0.702
```

Entry from the Alexandria database: Dy2Ho3ErS6 after structural relaxation (PBE-GGA).

Computed properties:
Formation energy from raw total energies = -23.73 eV/f.u.
Total magnetization = 0.00 μB per formula unit
Uncorrected energy = -76.00 eV for the cell shown

Structure (extended XYZ):
```
12
Lattice="-1.216 -1.944 -3.128 -6.423 -2.184 3.853 -1.662 8.263 -2.085" Properties=species:S:1:pos:R:3 pbc="T T T"
S -5.116 0.172 -0.524
Ho -3.191 3.515 -3.349
Ho -6.109 0.620 1.989
Ho -3.819 -2.064 0.362
S -1.885 1.269 -2.461
S -4.185 3.963 -0.837
S -4.831 -1.634 2.893
Dy -6.395 2.429 -1.429
Er -0.608 -0.972 -1.564
Dy -2.906 1.706 0.069
S -4.469 5.769 -4.253
S -7.416 2.866 1.101
```

Entry from the Alexandria database: TlTe2Os after structural relaxation (PBE-GGA).

Computed properties:
Offset from the most stable computed form = 314.0 meV/atom
Formation energy from raw total energies = 1.70 eV/f.u.
Total magnetization = 0.00 μB per formula unit
Uncorrected energy = -18.18 eV for the cell shown

Structure (extended XYZ):
```
4
Lattice="9.951 -0.013 -0.008 9.326 3.471 -0.008 9.326 1.673 3.042" Properties=species:S:1:pos:R:3 pbc="T T T"
Te 0.757 0.136 0.080
Os 21.373 3.834 2.261
Tl 13.923 2.498 1.473
Te 6.852 1.229 0.725
```

Entry from the Alexandria database: Tl3Hg2Pd after structural relaxation (PBE-GGA).

Computed properties:
Calculated formation energy = -0.23 eV per formula unit
Total magnetization = 0.00 μB per formula unit
Uncorrected energy = -52.48 eV for the cell shown

Structure (extended XYZ):
```
24
Lattice="3.892 0.000 0.000 0.000 11.876 0.000 0.000 0.000 13.673" Properties=species:S:1:pos:R:3 pbc="T T T"
Hg 0.973 0.859 4.267
Pd 0.973 2.046 1.638
Pd 0.973 3.892 8.475
Pd 2.919 9.830 12.035
Hg 2.919 6.797 2.570
Tl 0.973 4.873 0.846
Tl 0.973 1.065 7.682
Tl 0.973 0.156 12.108
Pd 2.919 7.984 5.198
Hg 0.973 8.545 7.281
Tl 0.973 9.310 3.495
Hg 0.973 5.079 11.103
Tl 0.973 5.782 5.272
Hg 0.973 9.269 0.444
Hg 2.919 3.331 6.392
Tl 2.919 3.372 3.341
Hg 2.919 11.017 9.406
Tl 2.919 10.811 5.991
Tl 0.973 8.504 10.331
Tl 2.919 11.720 1.565
Tl 2.919 6.094 8.401
Tl 2.919 2.566 10.178
Hg 2.919 2.607 13.228
Tl 2.919 7.003 12.827
```

Entry from the Alexandria database: Rb2TmCuCl6 after structural relaxation (PBE-GGA).

Computed properties:
Offset from the most stable computed form = 0.0 meV/atom
Formation energy from raw total energies = -17.92 eV/f.u.
Total magnetization = 0.07 μB per formula unit
Uncorrected energy = -79.01 eV for the cell shown

Structure (extended XYZ):
```
20
Lattice="-5.718 -4.044 3.236 0.841 -5.735 -5.683 6.267 -4.492 5.461" Properties=species:S:1:pos:R:3 pbc="T T T"
Rb -0.586 -7.707 -1.471
Cl -1.050 -5.442 4.903
Rb 1.701 -2.296 0.136
Cu -2.557 -4.082 -0.423
Rb 4.918 -4.602 2.939
Rb 2.464 -9.893 1.187
Cl 2.027 -6.164 0.777
Cl 2.368 -5.585 -2.795
Cu 3.672 -5.921 -0.911
Tm 0.493 -5.761 2.869
Cl 1.662 -3.524 3.368
Cl 5.172 -7.595 -0.352
Cl -0.912 -3.839 -2.112
Cl 2.210 -6.900 4.478
Cl -1.253 -4.418 1.461
Cl -0.645 -8.054 2.289
Cl -0.547 -6.480 -4.703
Cl -3.553 -8.606 -3.002
Tm 0.622 -4.243 -4.204
Cl -3.958 -5.994 -0.388
```

Entry from the Alexandria database: PtBrCl after structural relaxation (PBE-GGA).

Computed properties:
Formation energy from raw total energies = 0.09 eV/f.u.
Total magnetization = 2.02 μB per formula unit
Uncorrected energy = -9.47 eV for the cell shown

Structure (extended XYZ):
```
3
Lattice="-1.732 0.589 3.410 -0.828 -3.163 -2.070 4.626 -3.098 2.885" Properties=species:S:1:pos:R:3 pbc="T T T"
Cl 0.958 -3.310 1.058
Br 4.105 -2.750 2.560
Pt 1.629 -2.711 3.491
```